SrIn2 GGA-PBE relaxed; space group = I4/mcm (140); magnetic moment = 0.00 Bohr magnetons per cell; ΔE_f = -0.57 eV per formula unit
1.0
-3.0748 3.0748 5.5165
3.0748 -3.0748 5.5165
3.0748 3.0748 -5.5165
Sr In
2 4
direct
0.2500 0.2500 0.0000
0.7500 0.7500 0.0000
0.1772 0.6772 0.8544
0.3228 0.1772 0.5000
0.6772 0.8228 0.5000
0.8228 0.3228 0.1456